(1)
Entry from the Alexandria database: a relaxed structure of Pu2Ga6PtRh (PBE-GGA).

Computed properties:
E_form in eV per atom: -0.25
E in eV per atom: -6.268

```
10
Lattice="-5.630 3.397 1.541 -3.722 -4.948 -2.696 -4.842 -2.969 3.667" Properties=species:S:1:pos:R:3 pbc="T T T"
Pu -6.620 -4.346 0.197
Pu -7.574 -0.174 2.316
Ga -9.037 -5.850 2.021
Ga -7.035 -1.167 -0.868
Ga -4.760 -1.882 1.564
Ga -5.157 1.330 0.492
Ga -7.158 -3.353 3.381
Ga -9.434 -2.638 0.948
Pt -4.676 -0.776 -0.577
Rh 0.000 0.000 0.000
```

***

(2)
Entry from the Alexandria database: a relaxed structure of PuGaPtRh (PBE-GGA).

Computed properties:
E_form in eV per atom: -0.56
E in eV per atom: -8.246

```
4
Lattice="4.671 0.000 0.000 2.336 4.045 0.000 2.336 1.348 3.814" Properties=species:S:1:pos:R:3 pbc="T T T"
Rh 0.000 0.000 0.000
Ga 7.007 4.045 2.860
Pt 4.671 2.697 1.907
Pu 2.336 1.348 0.953
```

***

(3)
Entry from the Alexandria database: a relaxed structure of PuGa4PtRh2 (PBE-GGA).

Computed properties:
E_form in eV per atom: -0.55
E in eV per atom: -6.445

```
8
Lattice="4.276 0.000 0.000 2.138 3.703 0.000 2.138 1.234 8.684" Properties=species:S:1:pos:R:3 pbc="T T T"
Pu 0.000 0.000 0.000
Ga 4.276 2.469 7.003
Ga 6.414 3.703 3.328
Ga 2.138 1.234 5.356
Ga 4.276 2.469 1.681
Pt 4.276 2.469 4.342
Rh 6.414 3.703 6.031
Rh 2.138 1.234 2.653
```

***

(4)
Entry from the Alexandria database: a relaxed structure of Pu2Ga4PtRh3 (PBE-GGA).

Computed properties:
E_form in eV per atom: -0.64
E in eV per atom: -7.526

```
10
Lattice="4.171 0.000 0.000 0.000 4.171 0.000 0.000 0.000 10.596" Properties=species:S:1:pos:R:3 pbc="T T T"
Pu 2.086 0.000 2.651
Pu 0.000 2.086 7.944
Ga 2.086 2.086 0.000
Ga 0.000 0.000 0.000
Ga 2.086 0.000 6.695
Ga 0.000 2.086 3.901
Pt 2.086 2.086 5.298
Rh 0.000 0.000 5.298
Rh 2.086 0.000 9.160
Rh 0.000 2.086 1.435
```

***

(5)
Entry from the Alexandria database: a relaxed structure of PuGa4Pt2Rh (PBE-GGA).

Computed properties:
E_form in eV per atom: -0.61
E in eV per atom: -6.348

```
8
Lattice="-2.586 2.281 -2.551 -0.445 -1.086 -4.126 -7.656 -4.803 -0.139" Properties=species:S:1:pos:R:3 pbc="T T T"
Pu 0.000 0.000 0.000
Ga -7.382 -3.399 -2.768
Ga -5.653 -0.857 -5.854
Ga -5.035 -2.751 -0.962
Ga -3.306 -0.209 -4.048
Pt -7.742 -2.492 -5.197
Pt -2.945 -1.116 -1.618
Rh -5.344 -1.804 -3.408
```

***

(6)
Entry from the Alexandria database: a relaxed structure of Pu3GaPt2Rh3 (PBE-GGA).

Computed properties:
E_form in eV per atom: -0.63
E in eV per atom: -9.540

```
9
Lattice="3.780 0.000 0.000 0.000 7.264 0.000 0.000 -3.632 6.291" Properties=species:S:1:pos:R:3 pbc="T T T"
Pu 0.000 -1.487 2.576
Pu 0.000 2.145 3.715
Pu 0.000 2.974 0.000
Ga 0.000 0.000 0.000
Pt 1.890 0.000 4.194
Pt 1.890 3.632 2.097
Rh 1.890 5.563 0.000
Rh 1.890 0.851 1.473
Rh 1.890 -2.782 4.818
```

***

(7)
Entry from the Alexandria database: a relaxed structure of Pu2Ga4Pt3Rh (PBE-GGA).

Computed properties:
E_form in eV per atom: -0.74
E in eV per atom: -7.366

```
10
Lattice="4.217 0.000 0.000 0.000 4.217 0.000 0.000 0.000 10.625" Properties=species:S:1:pos:R:3 pbc="T T T"
Pu 2.109 0.000 2.693
Pu 0.000 2.109 7.932
Ga 2.109 2.109 0.000
Ga 0.000 0.000 0.000
Ga 2.109 0.000 6.676
Ga 0.000 2.109 3.949
Pt 0.000 0.000 5.313
Pt 2.109 0.000 9.167
Pt 0.000 2.109 1.458
Rh 2.109 2.109 5.313
```

***

(8)
Entry from the Alexandria database: a relaxed structure of PuScGa2Pt2 (PBE-GGA).

Computed properties:
E_form in eV per atom: -0.91
E in eV per atom: -7.375

```
6
Lattice="-3.844 -1.552 -1.601 3.602 -2.603 0.043 -1.652 -2.185 6.083" Properties=species:S:1:pos:R:3 pbc="T T T"
Pu 0.000 0.000 0.000
Sc -0.826 -1.092 3.041
Ga -2.540 -3.460 3.285
Ga 0.646 -2.879 1.240
Pt -1.826 -2.516 0.657
Pt -0.068 -3.823 3.868
```

***

(9)
Entry from the Alexandria database: a relaxed structure of PuGaSi6Pt2 (PBE-GGA).

Computed properties:
E in eV per atom: -6.292

```
10
Lattice="-4.871 0.086 -2.103 -2.597 -4.546 -0.863 -5.708 -1.066 6.481" Properties=species:S:1:pos:R:3 pbc="T T T"
Pu 0.000 0.000 0.000
Ga -6.588 -2.763 1.757
Si -6.076 -3.514 4.174
Si -7.310 -1.001 3.501
Si -4.456 -2.058 0.482
Si -7.099 -2.011 -0.660
Si -5.866 -4.525 0.013
Si -8.720 -3.467 3.033
Pt -5.092 -2.958 -1.714
Pt -8.083 -2.567 5.229
```

***

(10)
Entry from the Alexandria database: a relaxed structure of Sm2PuGa3Pt4 (PBE-GGA).

Computed properties:
E_form in eV per atom: -0.88
E in eV per atom: -6.577

```
10
Lattice="4.281 0.000 0.000 0.000 4.281 0.000 0.000 0.000 11.268" Properties=species:S:1:pos:R:3 pbc="T T T"
Sm 2.140 0.000 2.558
Sm 0.000 2.140 8.710
Pu 2.140 2.140 5.634
Ga 0.000 0.000 5.634
Ga 2.140 0.000 9.888
Ga 0.000 2.140 1.380
Pt 2.140 2.140 0.000
Pt 0.000 0.000 0.000
Pt 2.140 0.000 7.413
Pt 0.000 2.140 3.854
```

***

(11)
Entry from the Alexandria database: a relaxed structure of SmPu2Ga2Pt7 (PBE-GGA).

Computed properties:
E_form in eV per atom: -0.78
E in eV per atom: -7.591

```
12
Lattice="-3.102 0.950 -2.506 -0.667 -3.973 -0.760 -10.269 -1.669 9.619" Properties=species:S:1:pos:R:3 pbc="T T T"
Sm 0.000 0.000 0.000
Pu -7.061 -3.280 0.603
Pu -6.976 -1.412 5.751
Ga -9.856 -3.028 5.210
Ga -4.182 -1.663 1.143
Pt -1.884 -1.511 -1.633
Pt -5.802 -1.815 2.976
Pt -8.236 -2.876 3.378
Pt -4.826 -1.127 -1.205
Pt -3.607 -3.590 -0.331
Pt -10.430 -1.101 6.684
Pt -9.211 -3.565 7.558
```

***

(12)
Entry from the Alexandria database: a relaxed structure of SmPuGaPt (PBE-GGA).

Computed properties:
E_form in eV per atom: -0.59
E in eV per atom: -7.621

```
4
Lattice="-3.199 3.935 0.113 -4.293 -0.298 2.685 -0.527 2.719 4.250" Properties=species:S:1:pos:R:3 pbc="T T T"
Ga -6.014 4.767 5.286
Sm -4.010 3.178 3.524
Pt -2.005 1.589 1.762
Pu 0.000 0.000 0.000
```